Entry 1:
Computed, not measured: a relaxed PrSmCu crystal at the PBE level of DFT.

a = 3.604 Å, b = 3.604 Å, c = 12.607 Å
α = 90.00°, β = 90.00°, γ = 90.00°
Space group I4mm (No. 107)
Unique sites:
Pr 0.000 0.000 0.000 (multiplicity 2)
Sm 0.000 0.000 0.278 (multiplicity 2)
Cu 0.000 0.000 0.648 (multiplicity 2)

Results
The polymorph energy (0 for the lowest one) is 0.001 eV per atom. The value obtained for the magnetic moment is 0.0000 μB per atom. Its energy of formation from the pure elements is -21 kJ/mol of formula units.



Entry 2:
Computed, not measured: a relaxed BeFeW crystal at the PBE level of DFT.

a = 2.831 Å, b = 2.831 Å, c = 8.567 Å
α = 90.00°, β = 90.00°, γ = 90.00°
Space group I4mm (No. 107)
Unique sites:
Be 0.000 0.000 0.000 (multiplicity 2)
Fe 0.000 0.000 0.628 (multiplicity 2)
W 0.000 0.000 0.311 (multiplicity 2)

Results
The polymorph energy (0 for the lowest one) is 0.182 eV per atom. The value obtained for the magnetic moment is 0.0000 μB per atom. Its energy of formation from the pure elements is 4 kJ/mol of formula units.



Entry 3:
Computed, not measured: a relaxed K3FeCl crystal at the PBE level of DFT.

a = 6.047 Å, b = 6.047 Å, c = 6.047 Å
α = 90.00°, β = 90.00°, γ = 90.00°
Space group Pm-3m (No. 221)
Unique sites:
K 0.000 0.000 0.500 (multiplicity 3)
Fe 0.500 0.500 0.500 (multiplicity 1)
Cl 0.000 0.000 0.000 (multiplicity 1)

Results
The polymorph energy (0 for the lowest one) is 0.000 eV per atom. The value obtained for the magnetic moment is 0.6574 μB per atom.